Entry 1:
An optimized crystal structure of TbPm2P, computed with PBE.

a b c (Å): 3.8784 3.8784 28.6514
angles (deg): 90.00 90.00 120.00
Closest atoms and distances in Å follow each position.
Space group R-3m (No. 166, hexagonal axes)
Unique sites:
1 Tb 0.0000 0.0000 0.0000 [3 per cell]  6 Pm 3.80, 6 Tb 3.88
2 Pm 0.0000 0.0000 0.2262 [6 per cell]  3 P 2.81
3 P 0.0000 0.0000 0.5000 [3 per cell]  6 Pm 2.81

Properties
calculated total energy = -66.29 eV for the cell shown
ΔE_f = -639 meV per atom
M_tot = 0.0 μB per cell

Entry 2:
An optimized crystal structure of Sr2CaAu, computed with PBE.

a b c (Å): 8.2648 8.2648 8.2648
angles (deg): 90.00 90.00 90.00
Closest atoms and distances in Å follow each position.
Space group Fm-3m (No. 225)
Unique sites:
1 Sr 0.2500 0.2500 0.2500 [8 per cell]  4 Ca 3.58, 4 Au 3.58
2 Ca 0.0000 0.0000 0.0000 [4 per cell]  8 Sr 3.58
3 Au 0.0000 0.0000 0.5000 [4 per cell]  8 Sr 3.58

Properties
relative energy among the computed polymorphs = 0.335 eV/atom
calculated total energy = -36.49 eV for the cell shown
ΔE_f = -120 meV per atom
M_tot = 0.0 μB per cell

Entry 3:
An optimized crystal structure of Sr2AlZn3Pd4, computed with PBE.

a b c (Å): 4.3592 4.3592 10.6479
angles (deg): 90.00 90.00 90.00
Closest atoms and distances in Å follow each position.
Space group P-4m2 (No. 115)
Unique sites:
1 Sr 0.0000 0.5000 0.2439 [2 per cell]  6 Zn 3.31-3.49, 8 Pd 3.38-3.39, 2 Al 3.49
2 Al 0.0000 0.0000 0.5000 [1 per cell]  4 Pd 2.56
3 Zn 0.0000 0.5000 0.8692 [2 per cell]  5 Pd 2.58-2.59
4 Zn 0.5000 0.5000 0.5000 [1 per cell]  4 Pd 2.56
5 Pd 0.0000 0.0000 0.0000 [1 per cell]  4 Zn 2.59
6 Pd 0.0000 0.5000 0.6266 [2 per cell]  2 Al 2.56, 3 Zn 2.56-2.58
7 Pd 0.5000 0.5000 0.0000 [1 per cell]  4 Zn 2.59

Properties
calculated total energy = -37.74 eV for the cell shown
ΔE_f = -604 meV per atom
M_tot = 0.0 μB per cell

Entry 4:
An optimized crystal structure of SiAsIrSe2, computed with PBE.

a b c (Å): 4.6315 4.6315 4.6511
angles (deg): 90.00 90.00 90.00
Closest atoms and distances in Å follow each position.
Space group P4/mmm (No. 123)
Unique sites:
1 Si 0.0000 0.0000 0.0000 [1 per cell]  4 Se 2.32, 2 As 2.33
2 As 0.0000 0.0000 0.5000 [1 per cell]  2 Si 2.33
3 Ir 0.5000 0.5000 0.5000 [1 per cell]  4 As 3.27, 8 Se 3.28
4 Se 0.0000 0.5000 0.0000 [2 per cell]  2 Si 2.32

Properties
relative energy among the computed polymorphs = 0.309 eV/atom
formation energy without anion corrections = 1.0522 eV per atom
calculated total energy = -20.64 eV for the cell shown
M_tot = 0.0 μB per cell

Entry 5:
An optimized crystal structure of Sc3HgO, computed with PBE.

a b c (Å): 3.1285 6.0950 14.6044
angles (deg): 90.00 90.00 90.00
Closest atoms and distances in Å follow each position.
Space group Amm2 (No. 38)
Unique sites:
1 Sc 0.0000 0.0000 0.0000 [2 per cell]  1 O 2.38
2 Sc 0.5000 0.2393 0.8428 [4 per cell]  2 O 2.14
3 Hg 0.5000 0.0000 0.1724 [2 per cell]  4 Sc 2.95-2.96, 2 Hg 3.13
4 O 0.0000 0.0000 0.8372 [2 per cell]  5 Sc 2.14-2.38

Properties
relative energy among the computed polymorphs = 0.747 eV/atom
formation energy without anion corrections = -0.7454 eV per atom
calculated total energy = -55.96 eV for the cell shown
M_tot = 1.7 μB per cell

Entry 6:
An optimized crystal structure of CsRbLi2, computed with PBE.

a b c (Å): 9.7561 9.7561 9.7561
angles (deg): 90.00 90.00 90.00
Closest atoms and distances in Å follow each position.
Space group Fm-3m (No. 225)
Unique sites:
1 Cs 0.0000 0.0000 0.0000 [4 per cell]  8 Li 4.22
2 Rb 0.0000 0.0000 0.5000 [4 per cell]  8 Li 4.22
3 Li 0.2500 0.2500 0.2500 [8 per cell]  4 Rb 4.22, 4 Cs 4.22

Properties
relative energy among the computed polymorphs = 0.000 eV/atom
calculated total energy = -18.84 eV for the cell shown
ΔE_f = 235 meV per atom
M_tot = 0.0 μB per cell

The lowest calculated total energy belongs to which entry?
TbPm2P